# BiPAuSN

BiPAuSN after structural relaxation (PBE-GGA, the Alexandria database). Values from VASP.

```
&SYSTEM
  ibrav = 0, nat = 5, ntyp = 5
/
ATOMIC_SPECIES
Bi 208.98 Bi.upf
P 30.97 P.upf
Au 196.97 Au.upf
S 32.06 S.upf
N 14.01 N.upf
ATOMIC_POSITIONS crystal
Bi 0.000 0.000 0.000
P 0.320 0.530 0.230
Au 0.686 0.456 0.560
S 0.680 0.953 0.573
N 0.426 0.321 0.019
CELL_PARAMETERS angstrom
3.648 0.000 0.000
0.134 5.276 0.000
1.667 0.649 5.038
```

Properties
E_form (uncorrected), eV per atom: 0.190
Polymorph energy (0 for the lowest one), meV per atom: 142
Energy, eV per atom: -4.814

# BiPAuSN

BiPAuSN after structural relaxation (PBE-GGA, the Alexandria database). Values from VASP.

```
&SYSTEM
  ibrav = 0, nat = 5, ntyp = 5
/
ATOMIC_SPECIES
Bi 208.98 Bi.upf
P 30.97 P.upf
Au 196.97 Au.upf
S 32.06 S.upf
N 14.01 N.upf
ATOMIC_POSITIONS crystal
Bi 0.000 0.000 0.000
P 0.082 0.536 0.533
Au 0.484 0.814 0.329
S 0.413 0.429 0.879
N 0.909 0.738 0.619
CELL_PARAMETERS angstrom
4.671 0.000 0.000
-1.369 4.731 0.000
-1.942 -0.596 5.033
```

Properties
E_form (uncorrected), eV per atom: 0.163
Polymorph energy (0 for the lowest one), meV per atom: 115
Energy, eV per atom: -4.842